## Hf2NiAgOs (PBE-GGA)

Data for an optimized crystal structure of Hf2NiAgOs.

Cell: 4.9641 4.9641 4.7589 Å, 90.00 90.00 90.00°
Closest atoms and distances in Å follow each position.
Fractional coordinates of all 5 atoms:
Hf 0.0000 0.5000 0.0000  2 Ag 2.48
Hf 0.5000 0.0000 0.0000  2 Ag 2.48
Ni 0.0000 0.0000 0.5000  8 Hf 3.44, 4 Os 3.51
Ag 0.5000 0.5000 0.0000  2 Os 2.38, 4 Hf 2.48
Os 0.5000 0.5000 0.5000  2 Ag 2.38

Calculated values
Total energy: -6.13 eV per atom

=====

## HfNiAgPd (PBE-GGA)

Data for an optimized crystal structure of HfNiAgPd.

Cell: 4.5055 4.5055 4.5055 Å, 60.00 60.00 60.00°
Closest atoms and distances in Å follow each position.
Fractional coordinates of all 4 atoms:
Hf 0.0000 0.0000 0.0000  4 Ni 2.76, 4 Pd 2.76
Ni 0.7500 0.7500 0.7500  4 Hf 2.76, 4 Ag 2.76
Ag 0.5000 0.5000 0.5000  4 Ni 2.76, 4 Pd 2.76
Pd 0.2500 0.2500 0.2500  4 Hf 2.76, 4 Ag 2.76

Calculated values
Total energy: -6.28 eV per atom

=====

## Hf3NiAg3S8 (PBE-GGA)

Data for an optimized crystal structure of Hf3NiAg3S8.

Cell: 7.2351 7.2351 7.8954 Å, 117.35 117.35 59.94°
Closest atoms and distances in Å follow each position.
Fractional coordinates of all 15 atoms:
Hf 0.0000 0.0000 0.0000  6 S 2.55-2.56
Hf 0.0000 0.5000 0.0000  6 S 2.55-2.56
Hf 0.5000 0.0000 0.0000  6 S 2.55-2.56
Ni 0.5000 0.5000 0.0000  6 S 2.48
Ag 0.0000 0.5000 0.5000  6 S 2.81
Ag 0.5000 0.0000 0.5000  6 S 2.81
Ag 0.5000 0.5000 0.5000  6 S 2.81
S 0.2398 0.2398 0.2196  3 Hf 2.55, 3 Ag 2.81
S 0.2489 0.7329 0.2144  1 Ni 2.48, 2 Hf 2.56
S 0.2669 0.2669 0.7852  1 Ni 2.48, 2 Hf 2.56
S 0.2671 0.7511 0.7856  1 Ni 2.48, 2 Hf 2.56
S 0.7329 0.2489 0.2144  1 Ni 2.48, 2 Hf 2.56
S 0.7331 0.7331 0.2148  1 Ni 2.48, 2 Hf 2.56
S 0.7511 0.2671 0.7856  1 Ni 2.48, 2 Hf 2.56
S 0.7602 0.7602 0.7804  3 Hf 2.55, 3 Ag 2.81

Calculated values
E_form (uncorrected): -823 meV per atom
Total energy: -5.97 eV per atom

=====

## HfNiAg2Sn (PBE-GGA)

Data for an optimized crystal structure of HfNiAg2Sn.

Cell: 4.7346 4.7346 4.6802 Å, 90.00 90.00 90.00°
Closest atoms and distances in Å follow each position.
Fractional coordinates of all 5 atoms:
Hf 0.0000 0.0000 0.0000  8 Ag 3.33, 4 Sn 3.35
Ni 0.5000 0.5000 0.5000  2 Sn 2.34, 4 Ag 2.37
Ag 0.0000 0.5000 0.5000  2 Ni 2.37
Ag 0.5000 0.0000 0.5000  2 Ni 2.37
Sn 0.5000 0.5000 0.0000  2 Ni 2.34

Calculated values
Total energy: -4.59 eV per atom

=====

## Hf2TaNiAg (PBE-GGA)

Data for an optimized crystal structure of Hf2TaNiAg.

Cell: 4.6953 4.6953 4.6555 Å, 90.00 90.00 90.00°
Closest atoms and distances in Å follow each position.
Fractional coordinates of all 5 atoms:
Hf 0.0000 0.5000 0.0000  2 Ni 2.35
Hf 0.5000 0.0000 0.0000  2 Ni 2.35
Ta 0.0000 0.0000 0.5000  8 Hf 3.31, 4 Ag 3.32
Ni 0.5000 0.5000 0.0000  2 Ag 2.33, 4 Hf 2.35
Ag 0.5000 0.5000 0.5000  2 Ni 2.33

Calculated values
Energy relative to the lowest polymorph listed for this composition: 0 meV per atom
Total energy: -7.37 eV per atom

=====

## HfTaNi2Ag (PBE-GGA)

Data for an optimized crystal structure of HfTaNi2Ag.

Cell: 4.5222 4.5222 4.8876 Å, 90.00 90.00 90.00°
Closest atoms and distances in Å follow each position.
Fractional coordinates of all 5 atoms:
Hf 0.0000 0.0000 0.0000  2 Ag 2.44
Ta 0.5000 0.5000 0.0000  4 Hf 3.20, 8 Ni 3.33
Ni 0.0000 0.5000 0.5000  2 Ag 2.26
Ni 0.5000 0.0000 0.5000  2 Ag 2.26
Ag 0.0000 0.0000 0.5000  4 Ni 2.26, 2 Hf 2.44

Calculated values
Total energy: -5.80 eV per atom